A plane-wave DFT calculation with PBE was carried out for Er7Al5Ag after structural relaxation.

Results
N(E_F), states/eV/f.u.: 9.8
Formation energy, eV/atom: -0.195

abc: 6.2025 9.7612 10.4894
angles: 90.00 90.00 90.00
Space group Imm2 (No. 44)
Asymmetric unit:
Er 0.0000 0.0000 0.0000 x2
Er 0.0000 0.0000 0.3717 x2
Er 0.0000 0.3087 0.5803 x4
Er 0.0000 0.3334 0.0734 x4
Er 0.0000 0.5000 0.3273 x2
Al 0.0000 0.5000 0.8210 x2
Al 0.2223 0.2438 0.8311 x8
Ag 0.0000 0.0000 0.6871 x2



A plane-wave DFT calculation with PBE was carried out for Er3Al6Ag20 after structural relaxation.

Results
N(E_F), states/eV/f.u.: 13.9
Formation energy, eV/atom: -0.060

abc: 13.0479 13.0479 13.0479
angles: 90.00 90.00 90.00
Space group Fm-3m (No. 225)
Asymmetric unit:
Er 0.0000 0.0000 0.0000 x4
Er 0.2500 0.2500 0.2500 x8
Al 0.0000 0.0000 0.2645 x24
Ag 0.0000 0.1744 0.1744 x48
Ag 0.1176 0.1176 0.3824 x32



A plane-wave DFT calculation with PBE was carried out for Er3Al4Ag2 after structural relaxation.

Results
N(E_F), states/eV/f.u.: 4.2
Formation energy, eV/atom: -0.438

abc: 10.6367 4.5976 8.6295
angles: 90.00 115.38 90.00
Space group C2/m (No. 12)
Asymmetric unit:
Er 0.0000 0.0000 0.0000 x2
Er 0.1724 0.5000 0.6579 x4
Al 0.0305 0.0000 0.3670 x4
Al 0.2379 0.5000 0.0732 x4
Ag 0.1005 0.5000 0.2689 x4



A plane-wave DFT calculation with PBE was carried out for ErAl2Ag after structural relaxation.

Results
N(E_F), states/eV/f.u.: 2.3
Formation energy, eV/atom: -0.264

abc: 4.3745 4.3745 15.1250
angles: 90.00 90.00 120.00
Space group R-3m (No. 166, hexagonal axes)
Asymmetric unit:
Er 0.0000 0.0000 0.0000 x3
Al 0.0000 0.0000 0.2150 x6
Ag 0.0000 0.0000 0.5000 x3



A plane-wave DFT calculation with PBE was carried out for Er2Al2Ag3 after structural relaxation.

Results
N(E_F), states/eV/f.u.: 3.3
Formation energy, eV/atom: -0.254

abc: 4.3679 19.6852 3.3810
angles: 90.00 90.00 90.00
Space group Cmmm (No. 65)
Asymmetric unit:
Er 0.0000 0.1525 0.0000 x4
Al 0.0000 0.2852 0.5000 x4
Ag 0.0000 0.0000 0.0000 x2
Ag 0.0000 0.4289 0.5000 x4



A plane-wave DFT calculation with PBE was carried out for Er3Al3Ag2 after structural relaxation.

Results
N(E_F), states/eV/f.u.: 5.1
Formation energy, eV/atom: -0.394

abc: 4.4876 10.7091 14.7042
angles: 90.00 90.00 90.00
Space group Cmcm (No. 63)
Asymmetric unit:
Er 0.0000 0.0849 0.1108 x8
Er 0.0000 0.3575 0.2500 x4
Al 0.0000 0.3524 0.7500 x4
Al 0.0000 0.3881 0.0386 x8
Ag 0.0000 0.2072 0.5996 x8